The following is a PBE calculation of CsAlAs after structural relaxation, from Alexandria.

Summary:
Space group: No. 2
E_form, eV per formula unit: -1.3
VASP energy, eV/atom: -3.508
Density, g cm⁻³: 4.14
Excess energy over the best structure of this formula in the dataset, meV/atom: 0
Spin magnetization, μB/cell: 0.000

```
CsAlAs
1.0
4.2152 0.0000 0.0000
-2.1046 5.5932 0.0000
-2.0631 -1.0349 7.9977
Cs Al As
2 2 2
Cartesian
0.0236 1.4376 1.2109
0.0239 3.1208 6.7867
-2.0824 3.7071 3.7053
2.1299 0.8513 4.2923
0.0219 -0.0178 5.5053
0.0256 4.5762 2.4924
```